The following is a DFT calculation (GGA-PBE) of a relaxed Ca4Si crystal.

Results
**Formation energy from raw total energies**: -109 meV per atom
**Space-group type**: No. 221
**Uncorrected energy**: -13.97 eV/cell
**Crystal system**: cubic
**Relative energy among the computed polymorphs**: 0.0 meV per atom
**DOS at the Fermi energy**: 4.0 states/eV/cell

Unit cell a=5.782 b=5.782 c=5.782 alpha=90.00 beta=90.00 gamma=90.00
Each line ends with the local moment (μB).
Atoms (fractional coordinates):
1 Si 0.500 0.500 0.500  0.04
2 Ca 0.500 0.500 0.000  0.06
3 Ca 0.000 0.500 0.500  0.06
4 Ca 0.500 0.000 0.500  0.06
5 Ca 0.000 0.000 0.000  0.09

***

The following is a DFT calculation (GGA-PBE) of a relaxed Cs2RuC crystal.

Results
**Energy of formation**: 0.90 eV/atom
**Space-group type**: No. 141
**Uncorrected energy**: -33.20 eV/cell
**Crystal system**: tetragonal
**DOS at the Fermi energy**: 6.5 states/eV/cell

Unit cell a=9.233 b=9.233 c=9.233 alpha=92.54 beta=92.54 gamma=155.70
Each line ends with the local moment (μB).
Atoms (fractional coordinates):
1 Ru 0.250 0.750 0.500  0.00
2 Ru 0.000 0.000 0.000  0.00
3 Cs 0.125 0.875 0.750  0.00
4 Cs 0.625 0.875 0.750  0.00
5 Cs 0.125 0.875 0.250  0.00
6 Cs 0.125 0.375 0.250  0.00
7 C 0.500 0.500 0.000  0.06
8 C 0.750 0.250 0.500  0.06

***

The following is a DFT calculation (GGA-PBE) of a relaxed Mn2CoMoH crystal.

Results
**Space-group type**: No. 123
**Uncorrected energy**: -39.61 eV/cell
**Crystal system**: tetragonal
**Relative energy among the computed polymorphs**: 0.0 meV per atom
**DOS at the Fermi energy**: 3.6 states/eV/cell

Unit cell a=3.720 b=3.720 c=3.600 alpha=90.00 beta=90.00 gamma=90.00
Each line ends with the local moment (μB).
Atoms (fractional coordinates):
1 Co 0.000 0.000 0.500  -0.23
2 Mn 0.500 0.000 0.000  1.17
3 Mn 0.000 0.500 0.000  1.17
4 H 0.000 0.000 0.000  -0.01
5 Mo 0.500 0.500 0.500  -0.50

***

The following is a DFT calculation (GGA-PBE) of a relaxed Sc3Re2 crystal.

Results
**Energy of formation**: 0.23 eV/atom
**Space-group type**: No. 166
**Uncorrected energy**: -42.75 eV/cell
**Crystal system**: trigonal
**Relative energy among the computed polymorphs**: 71.4 meV per atom
**DOS at the Fermi energy**: 6.3 states/eV/cell

Unit cell a=11.389 b=11.389 c=11.389 alpha=15.84 beta=15.84 gamma=15.84
Atoms (fractional coordinates):
1 Sc 0.211 0.211 0.211
2 Sc 0.789 0.789 0.789
3 Sc 0.000 0.000 0.000
4 Re 0.396 0.396 0.396
5 Re 0.604 0.604 0.604

***

The following is a DFT calculation (GGA-PBE) of a relaxed Dy7Y2Mg crystal.

Results
**Energy of formation**: 0.68 eV/atom
**Space-group type**: No. 65
**Uncorrected energy**: -39.97 eV/cell
**Crystal system**: orthorhombic
**DOS at the Fermi energy**: 11.2 states/eV/cell

Unit cell a=5.299 b=9.359 c=9.359 alpha=125.18 beta=90.00 gamma=90.00
Atoms (fractional coordinates):
1 Dy 0.500 0.072 0.283
2 Dy 0.500 0.500 0.500
3 Dy 0.500 0.717 0.928
4 Dy 0.500 0.283 0.072
5 Dy 0.000 0.199 0.801
6 Dy 0.000 0.801 0.199
7 Dy 0.500 0.928 0.717
8 Mg 0.000 0.000 0.000
9 Y 0.500 0.294 0.706
10 Y 0.500 0.706 0.294

***

The following is a DFT calculation (GGA-PBE) of a relaxed Th2MgC crystal.

Results
**Energy of formation**: 0.02 eV/atom
**Space-group type**: No. 166
**Uncorrected energy**: -25.57 eV/cell
**Crystal system**: trigonal
**DOS at the Fermi energy**: 3.6 states/eV/cell

Unit cell a=3.544 b=3.544 c=10.147 alpha=79.94 beta=79.94 gamma=60.00
Atoms (fractional coordinates):
1 Mg 0.000 0.000 0.000
2 Th 0.883 0.883 0.350
3 Th 0.117 0.117 0.650
4 C 0.500 0.500 0.500

***

The following is a DFT calculation (GGA-PBE) of a relaxed Ba6Zn2In crystal.

Results
**Energy of formation**: -0.16 eV/atom
**Space-group type**: No. 71
**Uncorrected energy**: -36.55 eV/cell
**Crystal system**: orthorhombic
**DOS at the Fermi energy**: 22.7 states/eV/cell

Unit cell a=10.142 b=10.142 c=10.142 alpha=107.91 beta=108.06 gamma=112.49
Atoms (fractional coordinates):
1 Ba 0.093 0.268 0.825
2 Ba 0.303 0.970 0.667
3 Ba 0.814 0.750 0.564
4 Ba 0.557 0.732 0.825
5 Ba 0.814 0.250 0.063
6 Ba 0.303 0.636 0.333
7 Ba 0.907 0.732 0.175
8 Ba 0.186 0.750 0.937
9 Ba 0.697 0.364 0.667
10 Ba 0.697 0.030 0.333
11 Ba 0.443 0.268 0.175
12 Ba 0.186 0.250 0.436
13 Zn 0.338 0.000 0.338
14 Zn 0.662 0.000 0.662
15 Zn 0.500 0.392 0.892
16 Zn 0.500 0.608 0.108
17 In 0.000 0.000 0.000
18 In 0.000 0.500 0.500

***

The following is a DFT calculation (GGA-PBE) of a relaxed CaLaIn2 crystal.

Results
**Energy of formation**: -0.30 eV/atom
**Space-group type**: No. 12
**Uncorrected energy**: -13.60 eV/cell
**Crystal system**: monoclinic
**DOS at the Fermi energy**: 3.3 states/eV/cell

Unit cell a=5.485 b=5.485 c=6.603 alpha=77.45 beta=77.45 gamma=41.91
Atoms (fractional coordinates):
1 La 0.250 0.250 0.250
2 In 0.003 0.003 0.976
3 In 0.497 0.497 0.524
4 Ca 0.750 0.750 0.750

***

Q: DOS at the Fermi energy of number 6 (Th2MgC)?
A: 3.6 states/eV/cell